[1]
# Tb4Zn2I5, relaxed, DFT PBE
data_Tb4Zn2I5
_chemical_formula_sum 'Tb8 Zn4 I10'
_space_group_name_H-M_alt 'C 1 2/m 1'
_space_group_IT_number 12
_cell_length_a 24.242
_cell_length_b 4.013
_cell_length_c 8.505
_cell_angle_alpha 90.00
_cell_angle_beta 93.11
_cell_angle_gamma 90.00
loop_
_space_group_symop_operation_xyz
'x,y,z'
'-x,-y,-z'
'-x,y,-z'
'x,-y,z'
'x+1/2,y+1/2,z'
'-x+1/2,-y+1/2,-z'
'-x+1/2,y+1/2,-z'
'x+1/2,-y+1/2,z'
loop_
_atom_site_label
_atom_site_fract_x
_atom_site_fract_y
_atom_site_fract_z
Tb1 0.028 0.000 0.294
Tb2 0.164 0.500 0.436
Zn1 0.051 0.500 0.531
I1 0.000 0.500 0.000
I2 0.147 0.000 0.160
I3 0.212 0.000 0.687
# Electronic total energy in Ha/atom: -0.126
# Total magnetization in μB per formula unit: 0.00
# ΔE_f (raw) in eV per atom: -0.800

***

[2]
# Ce4Tl3Pt, relaxed, DFT PBE
data_Ce4Tl3Pt
_chemical_formula_sum 'Ce4 Tl3 Pt1'
_space_group_name_H-M_alt 'P 4/m m m'
_space_group_IT_number 123
_space_group_name_Hall '-P 4 2'
_cell_length_a 3.472
_cell_length_b 3.472
_cell_length_c 17.921
_cell_angle_alpha 90.00
_cell_angle_beta 90.00
_cell_angle_gamma 90.00
loop_
_atom_site_label
_atom_site_fract_x
_atom_site_fract_y
_atom_site_fract_z
Ce1 0.000 0.000 0.101
Ce2 0.000 0.000 0.369
Tl1 0.500 0.500 0.238
Tl2 0.500 0.500 0.500
Pt1 0.500 0.500 0.000
# Electronic total energy in Ha/atom: -0.185
# Total magnetization in μB per formula unit: 4.56
# Energy of formation from the pure elements in meV/atom: -433